[1]
This record from the Alexandria database describes a relaxed structure of Sc2Be2Bi. The functional is PBE.

The calculation puts the distance to the lowest polymorph of the same formula at 0.000 eV per atom. The calculation puts the total DFT energy (no corrections) at -50.09 eV for the cell shown. For the formation energy, the calculation gives -0.21 eV per atom.

It has space group P4/mbm (No. 127), with a = 6.603 Å, b = 6.603 Å, c = 4.085 Å, α = 90.00°, β = 90.00° and γ = 90.00°. The distinct sites, in fractional coordinates, are Sc at (0.164, 0.336, 0.000), Be at (0.112, 0.612, 0.500) and Bi at (0.000, 0.000, 0.500).

[2]
This record from the Alexandria database describes a relaxed structure of Cd2AgBr. The functional is PBE.

The calculation puts the distance to the lowest polymorph of the same formula at 0.168 eV per atom. The calculation puts the total DFT energy (no corrections) at -6.31 eV for the cell shown. The calculation puts the formation energy (no corrections) at 4.3 kJ/mol of formula units.

It has space group P4/mmm (No. 123), with a = 4.117 Å, b = 4.117 Å, c = 6.161 Å, α = 90.00°, β = 90.00° and γ = 90.00°. The distinct sites, in fractional coordinates, are Cd at (0.000, 0.500, 0.000), Ag at (0.000, 0.000, 0.500) and Br at (0.500, 0.500, 0.500).

[3]
This record from the Alexandria database describes a relaxed structure of Tb2Ho12Mg. The functional is PBE.

The calculation puts the total DFT energy (no corrections) at -256.72 eV for the cell shown. For the formation energy, the calculation gives 0.11 eV per atom.

It has space group C2/m (No. 12), with a = 6.963 Å, b = 11.222 Å, c = 24.126 Å, α = 90.00°, β = 97.61° and γ = 90.00°. The distinct sites, in fractional coordinates, are Tb at (0.023, 0.000, 0.266), Tb at (0.024, 0.500, 0.287), Ho at (0.067, 0.272, 0.934), Ho at (0.098, 0.260, 0.444), Ho at (0.126, 0.000, 0.107), Ho at (0.149, 0.500, 0.150), Ho at (0.156, 0.000, 0.581), Ho at (0.170, 0.500, 0.569), Ho at (0.207, 0.246, 0.673), Ho at (0.214, 0.282, 0.806) and Mg at (0.223, 0.500, 0.017).

[4]
This record from the Alexandria database describes a relaxed structure of Ti2NbTl. The functional is PBE.

The calculation puts the distance to the lowest polymorph of the same formula at 0.071 eV per atom. The calculation puts the total DFT energy (no corrections) at -28.08 eV for the cell shown. For the formation energy, the calculation gives 0.04 eV per atom.

It has space group P4/mmm (No. 123), with a = 4.470 Å, b = 4.470 Å, c = 3.665 Å, α = 90.00°, β = 90.00° and γ = 90.00°. The distinct sites, in fractional coordinates, are Ti at (0.000, 0.500, 0.000), Nb at (0.000, 0.000, 0.500) and Tl at (0.500, 0.500, 0.500).